Below is a geometry-optimized Cs2Rb4AlPb2 structure, with properties calculated at the PBE level.

Unit cell a=9.253 b=9.253 c=6.877 alpha=105.16 beta=105.16 gamma=58.57
Atoms (fractional coordinates):
Cs (0.139, 0.139, 0.229)
Cs (0.861, 0.861, 0.771)
Rb (0.148, 0.596, 0.293)
Rb (0.404, 0.852, 0.707)
Rb (0.596, 0.148, 0.293)
Rb (0.852, 0.404, 0.707)
Al (0.500, 0.500, 0.000)
Pb (0.332, 0.332, 0.766)
Pb (0.668, 0.668, 0.234)

Values from the calculation:
ΔE_f (meV per atom): -15